# Tl16Sn12Pb, optimized geometry, DFT GGA-PBE
data_Tl16Sn12Pb
_symmetry_space_group_name_H-M 'C 1 m 1'
_symmetry_Int_Tables_number 8
_symmetry_space_group_name_Hall 'C -2y'
_cell_length_a 12.111
_cell_length_b 17.059
_cell_length_c 10.466
_cell_angle_alpha 90.00
_cell_angle_beta 125.20
_cell_angle_gamma 90.00
loop_
_atom_site_label
_atom_site_type_symbol
_atom_site_fract_x
_atom_site_fract_y
_atom_site_fract_z
Tl1 Tl 0.000 0.000 0.000
Tl2 Tl 0.000 0.000 0.355
Tl3 Tl 0.056 0.341 0.397
Tl4 Tl 0.148 0.500 0.647
Tl5 Tl 0.159 0.158 0.601
Tl6 Tl 0.179 0.178 0.001
Tl7 Tl 0.301 0.302 0.316
Tl8 Tl 0.399 0.000 0.714
Tl9 Tl 0.459 0.142 0.999
Tl10 Tl 0.486 0.198 0.684
Sn1 Sn 0.003 0.181 0.184
Sn2 Sn 0.186 0.000 0.820
Sn3 Sn 0.224 0.411 0.002
Sn4 Sn 0.273 0.093 0.362
Sn5 Sn 0.319 0.318 0.813
Sn6 Sn 0.367 0.000 0.178
Sn7 Sn 0.408 0.407 0.633
Pb1 Pb 0.187 0.500 0.293
# - Energy: -3.089 eV/atom
# - Energy relative to the elements: 0.000 eV per atom